Material: K2Ac2NpO6
Method: DFT, GGA-PBE
State: relaxed

Cell lengths 6.4953, 6.4953, 6.6807 Å; angles 97.94, 97.94, 119.50 degrees
Last column: magnetic moment on the atom in μB.
Element x y z (fractional)
Ac 0.3351 0.6649 0.5000  0.01
Ac 0.6649 0.3351 0.5000  0.01
O 0.9605 0.6427 0.3265  -0.02
O 0.2346 0.2346 0.3201  -0.04
O 0.7654 0.7654 0.6799  -0.04
O 0.6427 0.9605 0.3265  -0.02
O 0.0395 0.3573 0.6735  -0.02
O 0.3573 0.0395 0.6735  -0.02
K 0.8434 0.1566 0.0000  0.00
K 0.1566 0.8434 0.0000  0.00
Np 0.0000 0.0000 0.5000  3.06

Values from the calculation:
Its total magnetization is 3.0 μB per formula unit. As for the density: 6.090 g/cm3. The symmetry is C2/m, No. 12. Its density of states at the Fermi level is 9.3 states/eV/cell. Its total energy is -7.49 eV/atom.

---

Material: La3Mo
Method: DFT, GGA-PBE
State: relaxed

Cell lengths 3.4827, 4.6873, 6.9383 Å; angles 90.00, 90.00, 90.00 degrees
Last column: magnetic moment on the atom in μB.
Element x y z (fractional)
La 0.5000 0.5000 0.7500  -0.03
La 0.0000 0.0000 0.4666  -0.01
La 0.0000 0.0000 0.0334  -0.01
Mo 0.5000 0.5000 0.2500  0.80

Values from the calculation:
The calculation puts the formation energy at 0.46 eV per atom. Its total magnetization is 0.8 μB per formula unit. As for the density: 7.516 g/cm3. The symmetry is Pmmm, No. 47. Its density of states at the Fermi level is 6.4 states/eV/cell. Its total energy is -5.95 eV/atom. The value obtained for the relative energy among the computed polymorphs is 97 kJ/mol of formula units.

---

Material: CdRu
Method: DFT, GGA-PBE
State: relaxed

Cell lengths 3.4827, 3.4827, 6.6578 Å; angles 90.00, 90.00, 90.00 degrees
Element x y z (fractional)
Cd 0.2500 0.2500 0.3547
Cd 0.7500 0.7500 0.6453
Ru 0.7500 0.2500 0.0000
Ru 0.2500 0.7500 0.0000

Values from the calculation:
The calculation puts the formation energy at 0.62 eV per atom. Its total magnetization is 0.0 μB per formula unit. As for the density: 8.780 g/cm3. The symmetry is P4/nmm, No. 129. Its density of states at the Fermi level is 4.3 states/eV/cell. Its total energy is -4.48 eV/atom.